Arrangement w

## K2HgGePt (PBE-GGA)

Data for a geometry-optimized K2HgGePt structure.

Computed properties:
V: 202.6 Å³/f.u.

Structure (POSCAR):
```
K2HgGePt
1.0
6.352 0.000 0.000
0.000 6.352 0.000
0.000 0.000 5.023
K Hg Ge Pt
2 1 1 1
Direct
0.000 0.500 0.000
0.500 0.000 0.000
0.000 0.000 0.500
0.000 0.000 0.000
0.500 0.500 0.500
```

***

Arrangement x

## K2HgGePt (PBE-GGA)

Data for a geometry-optimized K2HgGePt structure.

Computed properties:
V: 188.7 Å³/f.u.

Structure (POSCAR):
```
K2HgGePt
1.0
6.349 0.000 0.000
0.000 6.349 0.000
0.000 0.000 4.682
K Hg Ge Pt
2 1 1 1
Direct
0.000 0.500 0.000
0.500 0.000 0.000
0.000 0.000 0.500
0.500 0.500 0.500
0.500 0.500 0.000
```

***

arrangement x comes first in stability; the runner-up is 797 meV per atom higher.

***

Arrangement w

## La2Hg2Ge (PBE-GGA)

Data for a geometry-optimized La2Hg2Ge structure.

Computed properties:
V: 140.6 Å³/f.u.

Structure (POSCAR):
```
La2Hg2Ge
1.0
7.701 0.000 0.000
0.000 7.701 0.000
0.000 0.000 4.740
La Hg Ge
4 4 2
Direct
0.172 0.328 0.000
0.328 0.828 0.000
0.672 0.172 0.000
0.828 0.672 0.000
0.133 0.633 0.500
0.367 0.133 0.500
0.633 0.867 0.500
0.867 0.367 0.500
0.000 0.000 0.500
0.500 0.500 0.500
```

***

Arrangement x

## La2Hg2Ge (PBE-GGA)

Data for a geometry-optimized La2Hg2Ge structure.

Computed properties:
V: 156.1 Å³/f.u.

Structure (POSCAR):
```
La2Hg2Ge
1.0
-3.088 3.088 4.093
3.088 -3.088 4.093
3.088 3.088 -4.093
La Hg Ge
2 2 1
Direct
0.250 0.750 0.500
0.750 0.250 0.500
0.163 0.163 0.000
0.837 0.837 0.000
0.500 0.500 0.000
```

***

Arrangement y

## La2Hg2Ge (PBE-GGA)

Data for a geometry-optimized La2Hg2Ge structure.

Computed properties:
V: 146.6 Å³/f.u.

Structure (POSCAR):
```
La2Hg2Ge
1.0
-2.051 2.051 8.710
2.051 -2.051 8.710
2.051 2.051 -8.710
La Hg Ge
2 2 1
Direct
0.088 0.088 0.000
0.912 0.912 0.000
0.250 0.750 0.500
0.750 0.250 0.500
0.500 0.500 0.000
```

***

arrangement w comes first in stability; the runner-up is 60 meV per atom higher.

***

Arrangement w

## Li2HgGe2 (PBE-GGA)

Data for a geometry-optimized Li2HgGe2 structure.

Computed properties:
V: 94.9 Å³/f.u.

Structure (POSCAR):
```
Li2HgGe2
1.0
7.741 0.000 0.000
0.000 7.741 0.000
0.000 0.000 3.166
Li Hg Ge
4 2 4
Direct
0.186 0.314 0.000
0.314 0.814 0.000
0.686 0.186 0.000
0.814 0.686 0.000
0.000 0.000 0.000
0.500 0.500 0.000
0.113 0.613 0.500
0.387 0.113 0.500
0.613 0.887 0.500
0.887 0.387 0.500
```

***

Arrangement x

## Li2HgGe2 (PBE-GGA)

Data for a geometry-optimized Li2HgGe2 structure.

Computed properties:
V: 92.0 Å³/f.u.

Structure (POSCAR):
```
Li2HgGe2
1.0
7.699 0.000 0.000
0.000 7.699 0.000
0.000 0.000 3.103
Li Hg Ge
4 2 4
Direct
0.187 0.313 0.000
0.313 0.813 0.000
0.687 0.187 0.000
0.813 0.687 0.000
0.000 0.000 0.500
0.500 0.500 0.500
0.115 0.615 0.500
0.385 0.115 0.500
0.615 0.885 0.500
0.885 0.385 0.500
```

***

arrangement x comes first in stability; the runner-up is 49 meV per atom higher.

***

Arrangement w

## Li8Hg2Ge (PBE-GGA)

Data for a geometry-optimized Li8Hg2Ge structure.

Computed properties:
V: 191.6 Å³/f.u.

Structure (POSCAR):
```
Li8Hg2Ge
1.0
6.484 -3.526 0.000
6.484 3.526 0.000
-1.513 0.000 4.190
Li Hg Ge
8 2 1
Direct
0.076 0.641 0.360
0.218 0.782 0.000
0.356 0.356 0.856
0.359 0.924 0.640
0.641 0.076 0.360
0.644 0.644 0.144
0.782 0.218 0.000
0.924 0.359 0.640
0.198 0.198 0.197
0.802 0.802 0.803
0.500 0.500 0.500
```

***

Arrangement x

## Li8Hg2Ge (PBE-GGA)

Data for a geometry-optimized Li8Hg2Ge structure.

Computed properties:
V: 204.1 Å³/f.u.

Structure (POSCAR):
```
Li8Hg2Ge
1.0
3.766 -6.312 0.000
3.766 6.312 0.000
-1.533 0.000 4.293
Li Hg Ge
8 2 1
Direct
0.080 0.291 0.603
0.206 0.794 0.000
0.291 0.080 0.603
0.366 0.366 0.176
0.634 0.634 0.824
0.709 0.920 0.397
0.794 0.206 0.000
0.920 0.709 0.397
0.317 0.683 0.500
0.683 0.317 0.500
0.000 0.000 0.000
```

***

arrangement w comes first in stability; the runner-up is 54 meV per atom higher.

***

Arrangement w

## LiMgHgGe (PBE-GGA)

Data for a geometry-optimized LiMgHgGe structure.

Computed properties:
V: 75.7 Å³/f.u.

Structure (POSCAR):
```
LiMgHgGe
1.0
0.000 3.357 3.357
3.357 0.000 3.357
3.357 3.357 0.000
Li Mg Hg Ge
1 1 1 1
Direct
0.000 0.000 0.000
0.500 0.500 0.500
0.250 0.250 0.250
0.750 0.750 0.750
```

***

Arrangement x

## LiMgHgGe (PBE-GGA)

Data for a geometry-optimized LiMgHgGe structure.

Computed properties:
V: 76.2 Å³/f.u.

Structure (POSCAR):
```
LiMgHgGe
1.0
-2.245 2.245 3.778
2.245 -2.245 3.778
2.245 2.245 -3.778
Li Mg Hg Ge
1 1 1 1
Direct
0.000 0.000 0.000
0.500 0.500 0.000
0.750 0.250 0.500
0.250 0.750 0.500
```

***

arrangement x comes first in stability; the runner-up is 5 meV per atom higher.

***

Arrangement w

## Mg2Hg2Ge (PBE-GGA)

Data for a geometry-optimized Mg2Hg2Ge structure.

Computed properties:
V: 112.5 Å³/f.u.

Structure (POSCAR):
```
Mg2Hg2Ge
1.0
7.443 0.000 0.000
0.000 7.443 0.000
0.000 0.000 4.063
Mg Hg Ge
4 4 2
Direct
0.153 0.347 0.000
0.347 0.847 0.000
0.653 0.153 0.000
0.847 0.653 0.000
0.151 0.651 0.500
0.349 0.151 0.500
0.651 0.849 0.500
0.849 0.349 0.500
0.000 0.000 0.000
0.500 0.500 0.000
```

***

Arrangement x

## Mg2Hg2Ge (PBE-GGA)

Data for a geometry-optimized Mg2Hg2Ge structure.

Computed properties:
V: 109.3 Å³/f.u.

Structure (POSCAR):
```
Mg2Hg2Ge
1.0
8.040 0.000 0.000
0.000 8.040 0.000
0.000 0.000 3.382
Mg Hg Ge
4 4 2
Direct
0.166 0.334 0.000
0.334 0.834 0.000
0.666 0.166 0.000
0.834 0.666 0.000
0.135 0.635 0.500
0.365 0.135 0.500
0.635 0.865 0.500
0.865 0.365 0.500
0.000 0.000 0.500
0.500 0.500 0.500
```

***

arrangement x comes first in stability; the runner-up is 10 meV per atom higher.

***

Arrangement w

## MgHg2Ge2 (PBE-GGA)

Data for a geometry-optimized MgHg2Ge2 structure.

Computed properties:
V: 113.1 Å³/f.u.

Structure (POSCAR):
```
MgHg2Ge2
1.0
7.555 0.000 0.000
0.000 7.555 0.000
0.000 0.000 3.964
Mg Hg Ge
2 4 4
Direct
0.000 0.000 0.000
0.500 0.500 0.000
0.141 0.359 0.000
0.359 0.859 0.000
0.641 0.141 0.000
0.859 0.641 0.000
0.166 0.666 0.500
0.334 0.166 0.500
0.666 0.834 0.500
0.834 0.334 0.500
```

***

Arrangement x

## MgHg2Ge2 (PBE-GGA)

Data for a geometry-optimized MgHg2Ge2 structure.

Computed properties:
V: 120.2 Å³/f.u.

Structure (POSCAR):
```
MgHg2Ge2
1.0
-2.194 2.194 6.239
2.194 -2.194 6.239
2.194 2.194 -6.239
Mg Hg Ge
1 2 2
Direct
0.000 0.000 0.000
0.250 0.750 0.500
0.750 0.250 0.500
0.401 0.401 0.000
0.599 0.599 0.000
```

***

arrangement w comes first in stability; the runner-up is 10 meV per atom higher.

***

Arrangement w

## Hg3GeMo (PBE-GGA)

Data for a geometry-optimized Hg3GeMo structure.

Computed properties:
V: 146.0 Å³/f.u.

Structure (POSCAR):
```
Hg3GeMo
1.0
5.266 0.000 0.000
0.000 5.266 0.000
0.000 0.000 5.266
Hg Ge Mo
3 1 1
Direct
0.000 0.000 0.500
0.000 0.500 0.000
0.500 0.000 0.000
0.500 0.500 0.500
0.000 0.000 0.000
```

***

Arrangement x

## Hg3GeMo (PBE-GGA)

Data for a geometry-optimized Hg3GeMo structure.

Computed properties:
V: 147.3 Å³/f.u.

Structure (POSCAR):
```
Hg3GeMo
1.0
5.281 0.000 0.000
0.000 5.281 0.000
0.000 0.000 5.281
Hg Ge Mo
3 1 1
Direct
0.000 0.000 0.500
0.000 0.500 0.000
0.500 0.000 0.000
0.000 0.000 0.000
0.500 0.500 0.500
```

***

arrangement w comes first in stability; the runner-up is 40 meV per atom higher.

***

Arrangement w

## HgGeN2 (PBE-GGA)

Data for a geometry-optimized HgGeN2 structure.

Computed properties:
V: 51.9 Å³/f.u.

Structure (POSCAR):
```
HgGeN2
1.0
1.559 0.900 6.166
-1.559 0.900 6.166
0.000 -1.801 6.166
Hg Ge N
1 1 2
Direct
0.000 0.000 0.000
0.500 0.500 0.500
0.113 0.113 0.113
0.887 0.887 0.887
```

***

Arrangement x

## HgGeN2 (PBE-GGA)

Data for a geometry-optimized HgGeN2 structure.

Computed properties:
V: 55.9 Å³/f.u.

Structure (POSCAR):
```
HgGeN2
1.0
-2.511 2.511 4.436
2.511 -2.511 4.436
2.511 2.511 -4.436
Hg Ge N
2 2 4
Direct
0.000 0.000 0.000
0.750 0.250 0.500
0.250 0.750 0.500
0.500 0.500 0.000
0.203 0.625 0.078
0.375 0.453 0.578
0.547 0.125 0.922
0.875 0.797 0.422
```

***

arrangement x comes first in stability; the runner-up is 83 meV per atom higher.

***

Arrangement w

## HgGeN2 (PBE-GGA)

Data for a geometry-optimized HgGeN2 structure.

Computed properties:
V: 53.5 Å³/f.u.

Structure (POSCAR):
```
HgGeN2
1.0
0.000 2.990 2.990
2.990 0.000 2.990
2.990 2.990 0.000
Hg Ge N
1 1 2
Direct
0.000 0.000 0.000
0.500 0.500 0.500
0.250 0.250 0.250
0.750 0.750 0.750
```

***

Arrangement x

## HgGeN2 (PBE-GGA)

Data for a geometry-optimized HgGeN2 structure.

Computed properties:
V: 71.3 Å³/f.u.

Structure (POSCAR):
```
HgGeN2
1.0
1.902 1.098 5.686
-1.902 1.098 5.686
0.000 -2.196 5.686
Hg Ge N
1 1 2
Direct
0.000 0.000 0.000
0.500 0.500 0.500
0.399 0.399 0.399
0.601 0.601 0.601
```

***

arrangement x comes first in stability; the runner-up is 649 meV per atom higher.

***

Arrangement w

## HgGe3N (PBE-GGA)

Data for a geometry-optimized HgGe3N structure.

Computed properties:
V: 136.0 Å³/f.u.

Structure (POSCAR):
```
HgGe3N
1.0
5.143 0.000 0.000
0.000 5.143 0.000
0.000 0.000 5.143
Hg Ge N
1 3 1
Direct
0.000 0.000 0.000
0.000 0.000 0.500
0.000 0.500 0.000
0.500 0.000 0.000
0.500 0.500 0.500
```

***

Arrangement x

## HgGe3N (PBE-GGA)

Data for a geometry-optimized HgGe3N structure.

Computed properties:
V: 90.4 Å³/f.u.

Structure (POSCAR):
```
HgGe3N
1.0
4.487 0.000 0.000
0.000 4.487 0.000
0.000 0.000 4.487
Hg Ge N
1 3 1
Direct
0.000 0.000 0.000
0.000 0.500 0.500
0.500 0.000 0.500
0.500 0.500 0.000
0.500 0.500 0.500
```

***

arrangement x comes first in stability; the runner-up is 1327 meV per atom higher.

***

Arrangement w

## Hg3GeN (PBE-GGA)

Data for a geometry-optimized Hg3GeN structure.

Computed properties:
V: 160.5 Å³/f.u.

Structure (POSCAR):
```
Hg3GeN
1.0
5.435 0.000 0.000
0.000 5.435 0.000
0.000 0.000 5.435
Hg Ge N
3 1 1
Direct
0.000 0.000 0.500
0.000 0.500 0.000
0.500 0.000 0.000
0.000 0.000 0.000
0.500 0.500 0.500
```

***

Arrangement x

## Hg3GeN (PBE-GGA)

Data for a geometry-optimized Hg3GeN structure.

Computed properties:
V: 107.8 Å³/f.u.

Structure (POSCAR):
```
Hg3GeN
1.0
4.759 0.000 0.000
0.000 4.759 0.000
0.000 0.000 4.759
Hg Ge N
3 1 1
Direct
0.000 0.000 0.500
0.000 0.500 0.000
0.500 0.000 0.000
0.500 0.500 0.500
0.000 0.000 0.000
```

***

arrangement x comes first in stability; the runner-up is 162 meV per atom higher.